This record from Alexandria describes a geometry-optimized ScTlRe structure. The functional is PBE.

Unit cell a=4.6191 b=4.6191 c=4.6191 alpha=60.00 beta=60.00 gamma=60.00
Last column: nearest neighbours and their distance in Å.
Atoms (fractional coordinates):
Sc: 0.0000 0.0000 0.0000  4 Re 2.83
Tl: 0.5000 0.5000 0.5000  4 Re 2.83
Re: 0.7500 0.7500 0.7500  4 Sc 2.83, 4 Tl 2.83

Output
Crystal system ... cubic
Formation energy ... 0.77 eV per atom
Space group ... F-43m (216)
Final energy ... -0.462 Ry/atom
Polymorph energy (0 for the lowest one) ... 486 meV/atom
Magnetization ... 0.80 Bohr magnetons per cell

This record from Alexandria describes a geometry-optimized ScTl2Re structure. The functional is PBE.

Unit cell a=5.9441 b=5.9441 c=4.8105 alpha=113.78 beta=113.78 gamma=33.52
Last column: nearest neighbours and their distance in Å.
Atoms (fractional coordinates):
Sc: 0.0000 0.0000 0.0000  2 Re 2.70, 2 Tl 3.02
Tl: 0.5623 0.5623 0.5624  2 Re 2.98, 4 Sc 3.02, 2 Tl 3.32
Tl: 0.7871 0.7871 0.2871  4 Re 2.96, 2 Sc 3.26
Re: 0.2982 0.2982 0.7983  2 Sc 2.70, 6 Tl 2.96-2.98

Output
Crystal system ... monoclinic
Formation energy ... 0.45 eV per atom
Space group ... Cm (8)
Final energy ... -0.399 Ry/atom
Polymorph energy (0 for the lowest one) ... 66 meV/atom
Magnetization ... 0.00 Bohr magnetons per cell

This record from Alexandria describes a geometry-optimized ScTl2Re structure. The functional is PBE.

Unit cell a=4.8371 b=4.8371 c=4.8371 alpha=60.00 beta=60.00 gamma=60.00
Last column: nearest neighbours and their distance in Å.
Atoms (fractional coordinates):
Sc: 0.0000 0.0000 0.0000  8 Tl 2.96
Tl: 0.2500 0.2500 0.2500  4 Re 2.96, 4 Sc 2.96
Tl: 0.7500 0.7500 0.7500  4 Re 2.96, 4 Sc 2.96
Re: 0.5000 0.5000 0.5000  8 Tl 2.96

Output
Crystal system ... cubic
Formation energy ... 0.48 eV per atom
Space group ... Fm-3m (225)
Final energy ... -0.397 Ry/atom
Polymorph energy (0 for the lowest one) ... 96 meV/atom
Magnetization ... 0.00 Bohr magnetons per cell

This record from Alexandria describes a geometry-optimized ScTl2Re structure. The functional is PBE.

Unit cell a=5.2009 b=5.2009 c=5.2009 alpha=130.02 beta=130.02 gamma=73.37
Last column: nearest neighbours and their distance in Å.
Atoms (fractional coordinates):
Sc: 0.0000 0.0000 0.0000  8 Tl 3.03, 4 Re 3.11
Tl: 0.2500 0.7500 0.5000  4 Re 3.03, 4 Sc 3.03, 4 Tl 3.11
Tl: 0.7500 0.2500 0.5000  4 Re 3.03, 4 Sc 3.03, 4 Tl 3.11
Re: 0.5000 0.5000 0.0000  8 Tl 3.03, 4 Sc 3.11

Output
Crystal system ... tetragonal
Formation energy ... 0.42 eV per atom
Space group ... I4/mmm (139)
Final energy ... -0.401 Ry/atom
Polymorph energy (0 for the lowest one) ... 45 meV/atom
Magnetization ... 0.30 Bohr magnetons per cell

What is the formation energy in the first record? 0.77 eV per atom